1.
Density functional theory data (GGA-PBE) for a relaxed PrSbP crystal.

The uncorrected formation energy is -0.7650 eV/atom.

It has space group Cmme (No. 67), with a = 6.102 Å, b = 6.352 Å, c = 8.203 Å, α = 90.00°, β = 90.00° and γ = 90.00°. The inequivalent atoms are Pr at (0.000, 0.250, 0.161), Sb at (0.000, 0.000, 0.500) and P at (0.000, 0.250, 0.809).

2.
Density functional theory data (GGA-PBE) for a relaxed PrMgAl2 crystal.

Its formation enthalpy at 0 K is -281.7 meV per atom. Its offset from the most stable computed form is 0.001 eV/atom.

It has space group Pnma (No. 62), with a = 7.253 Å, b = 4.529 Å, c = 11.804 Å, α = 90.00°, β = 90.00° and γ = 90.00°. The inequivalent atoms are Pr at (0.158, 0.250, 0.150), Mg at (0.151, 0.250, 0.447), Al at (0.014, 0.250, 0.670) and Al at (0.155, 0.250, 0.868).

3.
Density functional theory data (GGA-PBE) for a relaxed PmSmGdAg crystal.

Its formation enthalpy at 0 K is 79.6 meV per atom.

It has space group F-43m (No. 216), with a = 7.677 Å, b = 7.677 Å, c = 7.677 Å, α = 90.00°, β = 90.00° and γ = 90.00°. The inequivalent atoms are Pm at (0.000, 0.000, 0.000), Sm at (0.250, 0.250, 0.750), Gd at (0.250, 0.250, 0.250) and Ag at (0.000, 0.000, 0.500).

4.
Density functional theory data (GGA-PBE) for a relaxed LiMgAlSb crystal.

The uncorrected formation energy is -0.0834 eV/atom.

It has space group F-43m (No. 216), with a = 6.992 Å, b = 6.992 Å, c = 6.992 Å, α = 90.00°, β = 90.00° and γ = 90.00°. The inequivalent atoms are Li at (0.000, 0.000, 0.000), Mg at (0.000, 0.000, 0.500), Al at (0.250, 0.250, 0.750) and Sb at (0.250, 0.250, 0.250).

5.
Density functional theory data (GGA-PBE) for a relaxed TlGaCSe2 crystal.

The uncorrected formation energy is 0.8135 eV/atom.

It has space group P4/mmm (No. 123), with a = 5.396 Å, b = 5.396 Å, c = 3.826 Å, α = 90.00°, β = 90.00° and γ = 90.00°. The inequivalent atoms are Tl at (0.000, 0.000, 0.000), Ga at (0.500, 0.500, 0.500), C at (0.500, 0.500, 0.000) and Se at (0.000, 0.500, 0.500).

6.
Density functional theory data (GGA-PBE) for a relaxed Li10CdPd4 crystal.

Its formation enthalpy at 0 K is -204.1 meV per atom.

It has space group I4/m (No. 87), with a = 7.840 Å, b = 7.840 Å, c = 7.908 Å, α = 90.00°, β = 90.00° and γ = 90.00°. The inequivalent atoms are Li at (0.000, 0.500, 0.250), Li at (0.114, 0.776, 0.160), Cd at (0.000, 0.000, 0.500) and Pd at (0.086, 0.663, 0.500).